Nb2Tl2CrS6 PBE optimized geometry; energy relative to the elements, uncorrected = -0.759 eV/atom; N(E_F) = 0.20 states/eV/atom; crystal system = monoclinic; symmetry = No. 12
1.0
2.973 -5.244 0.000
2.973 5.244 0.000
-1.848 0.000 7.922
Nb Tl Cr S
2 2 1 6
direct
0.141 0.859 0.000
0.859 0.141 0.000
0.323 0.677 0.500
0.677 0.323 0.500
0.500 0.500 0.000
0.122 0.453 0.825
0.253 0.253 0.201
0.453 0.122 0.825
0.547 0.878 0.175
0.747 0.747 0.799
0.878 0.547 0.175

---

Mg2AlRu PBE optimized geometry; N(E_F) = 0.76 states/eV/atom; crystal system = tetragonal; energy of formation = 0.2842 eV per atom; symmetry = No. 122
1.0
-3.725 3.725 2.637
3.725 -3.725 2.637
3.725 3.725 -2.637
Mg Al Ru
4 2 2
direct
0.098 0.625 0.973
0.375 0.348 0.473
0.652 0.125 0.027
0.875 0.902 0.527
0.250 0.750 0.500
0.500 0.500 0.000
0.000 0.000 0.000
0.750 0.250 0.500